1.
PrYPbO2 PBE relaxed; SG = No. 107; formation energy without anion corrections = -2.455 eV per atom
1.0
3.940 0.000 0.000
0.000 3.940 0.000
-1.970 -1.970 7.229
O Y Pb Pr
2 1 1 1
direct
0.746 0.246 0.491 O
0.246 0.746 0.491 O
0.172 0.172 0.343 Y
0.504 0.504 0.007 Pb
0.833 0.833 0.667 Pr

2.
PtPb2O PBE relaxed; SG = No. 5; formation energy without anion corrections = -0.395 eV per atom
1.0
-4.236 -1.649 5.147
3.333 0.239 2.820
0.014 6.131 -0.538
Pb Pt O
4 2 2
direct
0.240 0.507 0.292 Pb
0.760 0.007 0.208 Pb
0.760 0.507 0.708 Pb
0.240 0.007 0.792 Pb
0.500 0.983 0.500 Pt
0.500 0.483 0.000 Pt
0.000 0.283 0.500 O
0.000 0.783 0.000 O

3.
Pt3PbO PBE relaxed; SG = No. 221; formation energy without anion corrections = 1.913 eV per atom
1.0
-1.500 -4.034 2.736
4.360 -2.390 -1.133
2.178 2.006 4.152
O Pt Pb
1 3 1
direct
0.500 0.500 0.500 O
0.000 0.000 0.500 Pt
0.500 0.000 0.000 Pt
0.000 0.500 0.000 Pt
0.000 0.000 0.000 Pb

4.
PtPb2O2 PBE relaxed; SG = No. 127; formation energy without anion corrections = -0.317 eV per atom
1.0
7.006 0.000 0.000
0.000 7.006 0.000
0.000 0.000 3.601
Pb O Pt
4 4 2
direct
0.831 0.331 0.500 Pb
0.169 0.669 0.500 Pb
0.331 0.169 0.500 Pb
0.669 0.831 0.500 Pb
0.323 0.823 0.000 O
0.677 0.177 0.000 O
0.823 0.677 0.000 O
0.177 0.323 0.000 O
0.500 0.500 0.000 Pt
0.000 0.000 0.000 Pt

5.
PtPb3O PBE relaxed; SG = No. 221; formation energy without anion corrections = -0.130 eV per atom
1.0
-1.506 -3.645 2.928
3.808 0.828 2.990
-2.713 3.186 2.572
Pb Pt O
3 1 1
direct
0.500 0.000 0.000 Pb
0.000 0.500 0.000 Pb
0.000 0.000 0.500 Pb
0.500 0.500 0.500 Pt
0.000 0.000 0.000 O

6.
PtPbO4 PBE relaxed; SG = No. 15; formation energy without anion corrections = -0.583 eV per atom
1.0
-3.342 3.582 -0.973
-1.183 -2.382 -4.707
-2.069 -4.250 4.280
O Pt Pb
8 2 2
direct
0.502 0.536 0.811 O
0.310 0.036 0.811 O
0.143 0.685 0.352 O
0.209 0.185 0.352 O
0.498 0.464 0.189 O
0.857 0.315 0.648 O
0.690 0.964 0.189 O
0.791 0.815 0.648 O
0.500 0.500 0.500 Pt
0.000 0.000 0.500 Pt
0.241 0.750 0.000 Pb
0.759 0.250 0.000 Pb

7.
PtPb2O4 PBE relaxed; SG = No. 55; formation energy without anion corrections = -0.885 eV per atom
1.0
6.438 0.000 0.000
0.000 8.263 0.000
0.000 0.000 9.111
Pb O Pt
8 16 4
direct
0.500 0.147 0.652 Pb
0.500 0.353 0.152 Pb
0.500 0.647 0.848 Pb
0.000 0.882 0.671 Pb
0.500 0.853 0.348 Pb
0.000 0.618 0.171 Pb
0.000 0.118 0.329 Pb
0.000 0.382 0.829 Pb
0.750 0.334 0.666 O
0.000 0.397 0.393 O
0.000 0.603 0.607 O
0.500 0.878 0.090 O
0.750 0.166 0.166 O
0.500 0.378 0.410 O
0.750 0.666 0.334 O
0.500 0.122 0.910 O
0.000 0.897 0.107 O
0.250 0.834 0.834 O
0.000 0.103 0.893 O
0.250 0.666 0.334 O
0.750 0.834 0.834 O
0.500 0.622 0.590 O
0.250 0.334 0.666 O
0.250 0.166 0.166 O
0.251 0.500 0.500 Pt
0.251 0.000 0.000 Pt
0.749 0.000 0.000 Pt
0.749 0.500 0.500 Pt

8.
Pt4PbO8 PBE relaxed; SG = No. 216; formation energy without anion corrections = -0.418 eV per atom
1.0
-5.858 0.974 2.752
-5.457 -1.184 -3.414
-3.781 -5.115 1.543
O Pt Pb
8 4 1
direct
0.550 0.150 0.150 O
0.600 0.200 0.600 O
0.600 0.600 0.600 O
0.150 0.150 0.150 O
0.150 0.150 0.550 O
0.150 0.550 0.150 O
0.600 0.600 0.200 O
0.200 0.600 0.600 O
0.880 0.373 0.373 Pt
0.373 0.373 0.373 Pt
0.373 0.373 0.880 Pt
0.373 0.880 0.373 Pt
0.750 0.750 0.750 Pb